(1)
First-principles (PBE) data for crystalline Ca2TmAg at its relaxed geometry, as listed in Alexandria.

The structure in POSCAR format:
```
Ca2TmAg
1.0
3.7317 0.0000 0.0000
-1.8659 3.2318 0.0000
0.0000 0.0000 31.5609
Ca Tm Ag
6 3 3
direct
0.0000 0.0000 0.0000 Ca
0.0000 0.0000 0.1900 Ca
0.3333 0.6667 0.6667 Ca
0.3333 0.6667 0.8567 Ca
0.6667 0.3333 0.3333 Ca
0.6667 0.3333 0.5233 Ca
0.0000 0.0000 0.4287 Tm
0.3333 0.6667 0.0953 Tm
0.6667 0.3333 0.7620 Tm
0.0000 0.0000 0.5948 Ag
0.3333 0.6667 0.2615 Ag
0.6667 0.3333 0.9281 Ag
```

## Properties
DFT formation energy ... 28 meV per atom



(2)
First-principles (PBE) data for crystalline CaTm5Ag6 at its relaxed geometry, as listed in Alexandria.

The structure in POSCAR format:
```
CaTm5Ag6
1.0
-2.5429 3.5928 7.6596
2.5429 -3.5928 7.6596
2.5429 3.5928 -7.6596
Ca Tm Ag
1 5 6
direct
0.0000 0.0000 0.0000 Ca
0.1647 0.6647 0.5000 Tm
0.3326 0.3326 0.0000 Tm
0.5000 0.0000 0.5000 Tm
0.6674 0.6674 0.0000 Tm
0.8353 0.3353 0.5000 Tm
0.0861 0.8292 0.2569 Ag
0.2617 0.5000 0.7617 Ag
0.4278 0.1708 0.2569 Ag
0.5722 0.8292 0.7431 Ag
0.7383 0.5000 0.2383 Ag
0.9139 0.1708 0.7431 Ag
```

## Properties
DFT formation energy ... -330 meV per atom



(3)
First-principles (PBE) data for crystalline CaTm5Ag4 at its relaxed geometry, as listed in Alexandria.

The structure in POSCAR format:
```
CaTm5Ag4
1.0
3.5966 0.0000 0.0000
0.0000 3.5966 0.0000
0.0000 0.0000 19.8019
Ca Tm Ag
1 5 4
direct
0.0000 0.0000 0.0000 Ca
0.5000 0.5000 0.1407 Tm
0.5000 0.5000 0.3189 Tm
0.5000 0.5000 0.5000 Tm
0.5000 0.5000 0.6811 Tm
0.5000 0.5000 0.8593 Tm
0.0000 0.0000 0.2263 Ag
0.0000 0.0000 0.4108 Ag
0.0000 0.0000 0.5892 Ag
0.0000 0.0000 0.7737 Ag
```

## Properties
DFT formation energy ... -224 meV per atom



(4)
First-principles (PBE) data for crystalline Ca2TmAg3 at its relaxed geometry, as listed in Alexandria.

The structure in POSCAR format:
```
Ca2TmAg3
1.0
3.6538 0.0000 0.0000
0.0000 3.6538 0.0000
0.0000 0.0000 11.1100
Ca Tm Ag
2 1 3
direct
0.0000 0.0000 0.1709 Ca
0.0000 0.0000 0.8291 Ca
0.0000 0.0000 0.5000 Tm
0.5000 0.5000 0.0000 Ag
0.5000 0.5000 0.3515 Ag
0.5000 0.5000 0.6485 Ag
```

## Properties
DFT formation energy ... -319 meV per atom



(5)
First-principles (PBE) data for crystalline Ca5TmAg6 at its relaxed geometry, as listed in Alexandria.

The structure in POSCAR format:
```
Ca5TmAg6
1.0
2.5974 -7.8387 0.0000
2.5974 7.8387 0.0000
0.0000 0.0000 7.3947
Ca Tm Ag
5 1 6
direct
0.0000 0.0000 0.0000 Ca
0.3317 0.6683 0.5000 Ca
0.3334 0.6666 0.0000 Ca
0.6666 0.3334 0.0000 Ca
0.6683 0.3317 0.5000 Ca
0.0000 0.0000 0.5000 Tm
0.1592 0.8408 0.2571 Ag
0.1592 0.8408 0.7429 Ag
0.5000 0.5000 0.2707 Ag
0.5000 0.5000 0.7293 Ag
0.8408 0.1592 0.2571 Ag
0.8408 0.1592 0.7429 Ag
```

## Properties
DFT formation energy ... -309 meV per atom



(6)
First-principles (PBE) data for crystalline CaTm2Ag at its relaxed geometry, as listed in Alexandria.

The structure in POSCAR format:
```
CaTm2Ag
1.0
3.5875 0.0000 0.0000
0.0000 3.5875 0.0000
0.0000 0.0000 9.2549
Ca Tm Ag
1 2 1
direct
0.0000 0.0000 0.0000 Ca
0.5000 0.5000 0.3108 Tm
0.5000 0.5000 0.6892 Tm
0.0000 0.0000 0.5000 Ag
```

## Properties
DFT formation energy ... -68 meV per atom



(7)
First-principles (PBE) data for crystalline Ca2TmAg3 at its relaxed geometry, as listed in Alexandria.

The structure in POSCAR format:
```
Ca2TmAg3
1.0
5.1590 0.0000 0.0000
-2.5795 4.4678 0.0000
0.0000 0.0000 6.3701
Ca Tm Ag
2 1 3
direct
0.3333 0.6667 0.1630 Ca
0.6667 0.3333 0.8370 Ca
0.0000 0.0000 0.5000 Tm
0.0000 0.0000 0.0000 Ag
0.3333 0.6667 0.6414 Ag
0.6667 0.3333 0.3586 Ag
```

## Properties
DFT formation energy ... -304 meV per atom



(8)
First-principles (PBE) data for crystalline Ca2TmAg at its relaxed geometry, as listed in Alexandria.

The structure in POSCAR format:
```
Ca2TmAg
1.0
3.6293 0.0000 0.0000
-1.8147 3.1431 0.0000
0.0000 0.0000 34.1721
Ca Tm Ag
6 3 3
direct
0.0000 0.0000 0.1002 Ca
0.0000 0.0000 0.8998 Ca
0.3333 0.6667 0.5665 Ca
0.3333 0.6667 0.7669 Ca
0.6667 0.3333 0.2331 Ca
0.6667 0.3333 0.4335 Ca
0.0000 0.0000 0.0000 Tm
0.3333 0.6667 0.6667 Tm
0.6667 0.3333 0.3333 Tm
0.0000 0.0000 0.5000 Ag
0.3333 0.6667 0.1667 Ag
0.6667 0.3333 0.8333 Ag
```

## Properties
DFT formation energy ... 189 meV per atom